{"formula": "KNiB3", "functional": "GGA-PBE", "state": "optimized geometry", "formation_energy_ev_per_atom": 3.6563, "sg": "Pm-3m (221)", "n_ef_per_ev_cell": 7.34, "energy_ev_per_atom": -1.726, "de_polymorph_mev_per_atom": 2506, "magmom_total_mub_per_cell": 1.11, "cell": [[4.619, 0.000, 0.000], [0.000, 4.619, 0.000], [0.000, 0.000, 4.619]], "species": ["K", "Ni", "B", "B", "B"], "fractional_positions": [[0.000, 0.000, 0.000], [0.500, 0.500, 0.500], [0.000, 0.000, 0.500], [0.000, 0.500, 0.000], [0.500, 0.000, 0.000]]}

{"formula": "CeInAu4", "functional": "GGA-PBE", "state": "optimized geometry", "formation_energy_ev_per_atom": -0.3075, "sg": "Cmcm (63)", "n_ef_per_ev_cell": 18.07, "energy_ev_per_atom": -3.938, "de_polymorph_mev_per_atom": 92, "magmom_total_mub_per_cell": 2.03, "cell": [[2.503, -7.429, 0.000], [2.503, 7.429, 0.000], [0.000, 0.000, 7.498]], "species": ["Ce", "Ce", "In", "In", "Au", "Au", "Au", "Au", "Au", "Au", "Au", "Au"], "fractional_positions": [[0.125, 0.875, 0.750], [0.875, 0.125, 0.250], [0.357, 0.643, 0.750], [0.643, 0.357, 0.250], [0.070, 0.930, 0.250], [0.274, 0.726, 0.072], [0.274, 0.726, 0.428], [0.500, 0.500, 0.000], [0.500, 0.500, 0.500], [0.726, 0.274, 0.572], [0.726, 0.274, 0.928], [0.930, 0.070, 0.750]]}

{"formula": "Sr4Th3VN8", "functional": "GGA-PBE", "state": "optimized geometry", "sg": "C2/m (12)", "n_ef_per_ev_cell": 3.76, "energy_ev_per_atom": -7.596, "formation_energy_uncorrected_ev_per_atom": -1.051, "magmom_total_mub_per_cell": 0.91, "cell": [[6.291, -3.584, 0.000], [6.291, 3.584, 0.000], [-4.129, 0.000, 6.035]], "species": ["Sr", "Sr", "Sr", "Sr", "Th", "Th", "Th", "V", "N", "N", "N", "N", "N", "N", "N", "N"], "fractional_positions": [[0.000, 0.000, 0.000], [0.000, 0.500, 0.000], [0.500, 0.000, 0.000], [0.500, 0.500, 0.000], [0.000, 0.000, 0.500], [0.000, 0.500, 0.500], [0.500, 0.000, 0.500], [0.500, 0.500, 0.500], [0.236, 0.236, 0.713], [0.253, 0.253, 0.275], [0.266, 0.713, 0.694], [0.287, 0.734, 0.306], [0.713, 0.266, 0.694], [0.734, 0.287, 0.306], [0.747, 0.747, 0.725], [0.764, 0.764, 0.287]]}

{"formula": "LiTm2Cl2O2", "functional": "GGA-PBE", "state": "optimized geometry", "sg": "P-4m2 (115)", "n_ef_per_ev_cell": 2.30, "energy_ev_per_atom": -6.022, "de_polymorph_mev_per_atom": 0, "formation_energy_uncorrected_ev_per_atom": -2.527, "magmom_total_mub_per_cell": 0.78, "cell": [[3.872, 0.000, 0.000], [0.000, 3.872, 0.000], [0.000, 0.000, 8.633]], "species": ["Li", "Tm", "Tm", "Cl", "Cl", "O", "O"], "fractional_positions": [[0.000, 0.000, 0.000], [0.000, 0.500, 0.622], [0.500, 0.000, 0.378], [0.000, 0.500, 0.188], [0.500, 0.000, 0.812], [0.000, 0.000, 0.500], [0.500, 0.500, 0.500]]}

Repeat the second record exactly.
{"formula": "CeInAu4", "functional": "GGA-PBE", "state": "optimized geometry", "formation_energy_ev_per_atom": -0.3075, "sg": "Cmcm (63)", "n_ef_per_ev_cell": 18.07, "energy_ev_per_atom": -3.938, "de_polymorph_mev_per_atom": 92, "magmom_total_mub_per_cell": 2.03, "cell": [[2.503, -7.429, 0.000], [2.503, 7.429, 0.000], [0.000, 0.000, 7.498]], "species": ["Ce", "Ce", "In", "In", "Au", "Au", "Au", "Au", "Au", "Au", "Au", "Au"], "fractional_positions": [[0.125, 0.875, 0.750], [0.875, 0.125, 0.250], [0.357, 0.643, 0.750], [0.643, 0.357, 0.250], [0.070, 0.930, 0.250], [0.274, 0.726, 0.072], [0.274, 0.726, 0.428], [0.500, 0.500, 0.000], [0.500, 0.500, 0.500], [0.726, 0.274, 0.572], [0.726, 0.274, 0.928], [0.930, 0.070, 0.750]]}

Please write out number 2 again, unchanged.
{"formula": "CeInAu4", "functional": "GGA-PBE", "state": "optimized geometry", "formation_energy_ev_per_atom": -0.3075, "sg": "Cmcm (63)", "n_ef_per_ev_cell": 18.07, "energy_ev_per_atom": -3.938, "de_polymorph_mev_per_atom": 92, "magmom_total_mub_per_cell": 2.03, "cell": [[2.503, -7.429, 0.000], [2.503, 7.429, 0.000], [0.000, 0.000, 7.498]], "species": ["Ce", "Ce", "In", "In", "Au", "Au", "Au", "Au", "Au", "Au", "Au", "Au"], "fractional_positions": [[0.125, 0.875, 0.750], [0.875, 0.125, 0.250], [0.357, 0.643, 0.750], [0.643, 0.357, 0.250], [0.070, 0.930, 0.250], [0.274, 0.726, 0.072], [0.274, 0.726, 0.428], [0.500, 0.500, 0.000], [0.500, 0.500, 0.500], [0.726, 0.274, 0.572], [0.726, 0.274, 0.928], [0.930, 0.070, 0.750]]}

What did the first record say?
{"formula": "KNiB3", "functional": "GGA-PBE", "state": "optimized geometry", "formation_energy_ev_per_atom": 3.6563, "sg": "Pm-3m (221)", "n_ef_per_ev_cell": 7.34, "energy_ev_per_atom": -1.726, "de_polymorph_mev_per_atom": 2506, "magmom_total_mub_per_cell": 1.11, "cell": [[4.619, 0.000, 0.000], [0.000, 4.619, 0.000], [0.000, 0.000, 4.619]], "species": ["K", "Ni", "B", "B", "B"], "fractional_positions": [[0.000, 0.000, 0.000], [0.500, 0.500, 0.500], [0.000, 0.000, 0.500], [0.000, 0.500, 0.000], [0.500, 0.000, 0.000]]}